KFe2Se PBE relaxed; formation energy without anion corrections = 132.3 meV/atom; density = 4.029 g/cm3; magnetization = 4.62 Bohr magnetons per cell
1.0
2.1073 1.2166 6.1556
-2.1073 1.2166 6.1556
0.0000 -2.4333 6.1556
K Fe Se
1 2 1
Direct
0.0000 0.0000 0.0000
0.1726 0.1726 0.1726
0.8274 0.8274 0.8274
0.5000 0.5000 0.5000


NdDyH2 PBE relaxed; density = 8.087 g/cm3; energy relative to the lowest polymorph listed for this composition = 0 meV per atom; magnetization = 0.00 Bohr magnetons per cell
1.0
1.7790 1.0271 5.7829
-1.7790 1.0271 5.7829
0.0000 -2.0542 5.7829
Nd Dy H
1 1 2
Direct
0.0000 0.0000 0.0000
0.5000 0.5000 0.5000
0.2438 0.2438 0.2438
0.7562 0.7562 0.7562


SbCSe2 PBE relaxed; formation energy without anion corrections = 1028.7 meV/atom; density = 5.532 g/cm3; energy relative to the lowest polymorph listed for this composition = 158 meV per atom; magnetization = 0.00 Bohr magnetons per cell
1.0
-3.2249 3.2249 4.2095
3.2249 -3.2249 4.2095
3.2249 3.2249 -4.2095
Sb C Se
2 2 4
Direct
0.0000 0.0000 0.0000
0.7500 0.2500 0.5000
0.2500 0.7500 0.5000
0.5000 0.5000 0.0000
0.2202 0.6250 0.0952
0.3750 0.4702 0.5952
0.5298 0.1250 0.9048
0.8750 0.7798 0.4048


DOS(E_F) per entry: 0.42 0.61 0.52 states/eV per atom